A plane-wave DFT calculation with PBE was carried out for a relaxed structure of Na3LiTl4.

Unit cell a=7.1043 b=7.1043 c=7.1043 alpha=79.47 beta=127.03 gamma=125.49
Fractional coordinates of all 8 atoms:
Na (0.5852, 0.2597, 0.8449)
Na (0.5852, 0.7403, 0.3254)
Na (0.8457, 0.0000, 0.8457)
Li (0.2983, 0.5000, 0.7983)
Tl (0.0916, 0.2624, 0.3540)
Tl (0.5752, 0.2484, 0.3268)
Tl (0.0916, 0.7376, 0.8292)
Tl (0.0784, 0.7516, 0.3268)

Values from the calculation:
energy relative to the lowest polymorph listed for this composition	63.7	kJ/mol of formula units
formation energy	-0.0515	eV per atom
electronic total energy	-1.969	eV per atom
N(E_F)	4.7	states/eV/f.u.
symmetry	Imm2 (44)
density	6.59	g/cm³